Record 1
# Sr2YReO8

A relaxed structure of Sr2YReO8 (GGA-PBE, the Alexandria database).

Crystal system ... triclinic
Total energy ... -7.372 eV per atom
Formation energy (no corrections) ... -2.210 eV per atom

Cell lengths 5.546, 4.633, 6.649 Å; angles 75.20, 95.81, 89.29 degrees
Atoms (fractional coordinates):
Sr 0.488 0.598 0.219
Sr 0.512 0.402 0.781
O 0.587 0.877 0.498
O 0.710 0.834 0.929
O 0.944 0.294 0.722
O 0.290 0.166 0.071
O 0.056 0.706 0.278
O 0.829 0.230 0.142
O 0.413 0.123 0.502
O 0.171 0.770 0.858
Y 0.000 0.000 0.500
Re 0.000 0.000 0.000

---

Record 2
# Na2Ge3AsPt4

A relaxed structure of Na2Ge3AsPt4 (GGA-PBE, the Alexandria database).

DFT formation energy ... -463 meV per atom
Crystal system ... tetragonal
Total energy ... -4.993 eV per atom

Cell lengths 4.340, 4.340, 10.263 Å; angles 90.00, 90.00, 90.00 degrees
Atoms (fractional coordinates):
Pt 0.000 0.000 0.000
Pt 0.500 0.000 0.630
Pt 0.500 0.500 0.000
Pt 0.000 0.500 0.370
Ge 0.500 0.000 0.871
Ge 0.000 0.000 0.500
Ge 0.000 0.500 0.129
Na 0.500 0.000 0.247
Na 0.000 0.500 0.753
As 0.500 0.500 0.500